No. 1
Entry from the Alexandria database: a geometry-optimized Ac3Zn2SnAu6 structure (PBE).

abc: 6.4418 6.4418 8.7548
angles: 90.00 90.00 120.00
Space group P-3m1 (No. 164)
Symmetry-distinct sites (fractional):
Ac (0.0000, 0.0000, 0.0000) [1 per cell]
Ac (0.3333, 0.6667, 0.6327) [2 per cell]
Zn (0.3333, 0.6667, 0.0238) [2 per cell]
Sn (0.0000, 0.0000, 0.5000) [1 per cell]
Au (0.1850, 0.3699, 0.2762) [6 per cell]

- Crystal system: trigonal
- Formation energy from the elements: -0.483 eV per atom
- Raw total energy: -0.27154 Ry/atom

***

No. 2
Entry from the Alexandria database: a geometry-optimized TaTlRh structure (PBE).

abc: 3.1171 3.1171 11.6385
angles: 90.00 90.00 90.00
Space group I4mm (No. 107)
Symmetry-distinct sites (fractional):
Ta (0.0000, 0.0000, 0.0000) [2 per cell]
Tl (0.0000, 0.0000, 0.6928) [2 per cell]
Rh (0.0000, 0.0000, 0.3755) [2 per cell]

- Crystal system: tetragonal
- Formation energy from the elements: 0.050 eV per atom
- Raw total energy: -0.52481 Ry/atom

***

No. 3
Entry from the Alexandria database: a geometry-optimized MnCuSiP structure (PBE).

abc: 2.7148 2.7543 13.6811
angles: 90.00 90.00 90.00
Space group Imm2 (No. 44)
Symmetry-distinct sites (fractional):
Mn (0.0000, 0.0000, 0.0000) [2 per cell]
Cu (0.0000, 0.5000, 0.7392) [2 per cell]
Si (0.0000, 0.0000, 0.3860) [2 per cell]
P (0.0000, 0.0000, 0.5928) [2 per cell]

- Crystal system: orthorhombic
- Energy above the lowest structure with this stoichiometry: 45 meV/atom
- Formation energy (no corrections): -0.1211 eV/atom
- Raw total energy: -0.45170 Ry/atom

***

No. 4
Entry from the Alexandria database: a geometry-optimized Lu2CdSn structure (PBE).

abc: 4.8447 4.8447 4.2449
angles: 90.00 90.00 90.00
Space group P4/mmm (No. 123)
Symmetry-distinct sites (fractional):
Lu (0.0000, 0.5000, 0.0000) [2 per cell]
Cd (0.0000, 0.0000, 0.5000) [1 per cell]
Sn (0.5000, 0.5000, 0.5000) [1 per cell]

- Crystal system: tetragonal
- Formation energy from the elements: -0.436 eV per atom
- Raw total energy: -0.28856 Ry/atom

***

No. 5
Entry from the Alexandria database: a geometry-optimized Ag2TeSe2 structure (PBE).

abc: 4.0055 4.0055 14.2279
angles: 90.00 90.00 90.00
Space group I4/mmm (No. 139)
Symmetry-distinct sites (fractional):
Ag (0.0000, 0.5000, 0.2500) [4 per cell]
Te (0.0000, 0.0000, 0.0000) [2 per cell]
Se (0.0000, 0.0000, 0.3891) [4 per cell]

- Crystal system: tetragonal
- Energy above the lowest structure with this stoichiometry: 201 meV/atom
- Formation energy (no corrections): 0.2214 eV/atom
- Raw total energy: -0.21618 Ry/atom

***

No. 6
Entry from the Alexandria database: a geometry-optimized RbTi2NbIr structure (PBE).

abc: 4.5689 4.5689 4.8105
angles: 90.00 90.00 90.00
Space group P4/mmm (No. 123)
Symmetry-distinct sites (fractional):
Rb (0.0000, 0.0000, 0.0000) [1 per cell]
Ti (0.0000, 0.5000, 0.0000) [2 per cell]
Nb (0.5000, 0.5000, 0.5000) [1 per cell]
Ir (0.0000, 0.0000, 0.5000) [1 per cell]

- Crystal system: tetragonal
- Formation energy from the elements: 2.264 eV per atom
- Raw total energy: -0.35820 Ry/atom

***

No. 7
Entry from the Alexandria database: a geometry-optimized CdRh3 structure (PBE).

abc: 2.8087 3.8434 5.7497
angles: 90.00 90.00 90.00
Space group Pmmm (No. 47)
Symmetry-distinct sites (fractional):
Cd (0.0000, 0.0000, 0.0000) [1 per cell]
Rh (0.0000, 0.0000, 0.5000) [1 per cell]
Rh (0.5000, 0.5000, 0.2699) [2 per cell]

- Crystal system: orthorhombic
- Formation energy from the elements: 0.048 eV per atom
- Raw total energy: -0.41850 Ry/atom

***

No. 8
Entry from the Alexandria database: a geometry-optimized CaI2NO structure (PBE).

abc: 6.1632 6.1632 4.7500
angles: 90.00 90.00 90.00
Space group P4/mmm (No. 123)
Symmetry-distinct sites (fractional):
Ca (0.0000, 0.0000, 0.0000) [1 per cell]
I (0.0000, 0.5000, 0.0000) [2 per cell]
N (0.0000, 0.0000, 0.5000) [1 per cell]
O (0.5000, 0.5000, 0.5000) [1 per cell]

- Crystal system: tetragonal
- Energy above the lowest structure with this stoichiometry: 400 meV/atom
- Formation energy (no corrections): 0.6945 eV/atom
- Raw total energy: -0.21921 Ry/atom

***

No. 9
Entry from the Alexandria database: a geometry-optimized LiLaTe2 structure (PBE).

abc: 11.8309 11.8893 14.7232
angles: 90.00 92.84 90.00
Space group C2/c (No. 15)
Symmetry-distinct sites (fractional):
Li (0.1148, 0.2297, 0.1198) [8 per cell]
Li (0.1372, 0.4776, 0.3623) [8 per cell]
La (0.0056, 0.1307, 0.6195) [8 per cell]
La (0.2488, 0.1210, 0.3568) [8 per cell]
Te (0.0000, 0.1005, 0.2500) [4 per cell]
Te (0.0000, 0.3721, 0.7500) [4 per cell]
Te (0.0844, 0.2979, 0.4715) [8 per cell]
Te (0.1802, 0.0419, 0.0217) [8 per cell]
Te (0.2355, 0.1400, 0.7659) [8 per cell]

- Crystal system: monoclinic
- Formation energy (no corrections): -1.3332 eV/atom
- Raw total energy: -0.33915 Ry/atom

***

No. 10
Entry from the Alexandria database: a geometry-optimized Bi2AuCS structure (PBE).

abc: 5.2518 5.2518 4.0095
angles: 90.00 90.00 90.00
Space group P4/mmm (No. 123)
Symmetry-distinct sites (fractional):
Bi (0.0000, 0.5000, 0.0000) [2 per cell]
Au (0.0000, 0.0000, 0.5000) [1 per cell]
C (0.0000, 0.0000, 0.0000) [1 per cell]
S (0.5000, 0.5000, 0.5000) [1 per cell]

- Crystal system: tetragonal
- Formation energy (no corrections): 0.7070 eV/atom
- Raw total energy: -0.30657 Ry/atom

***

No. 11
Entry from the Alexandria database: a geometry-optimized CdTe2PdO structure (PBE).

abc: 5.6526 5.6526 3.8896
angles: 90.00 90.00 90.00
Space group P4/mmm (No. 123)
Symmetry-distinct sites (fractional):
Cd (0.0000, 0.0000, 0.0000) [1 per cell]
Te (0.0000, 0.5000, 0.0000) [2 per cell]
Pd (0.5000, 0.5000, 0.5000) [1 per cell]
O (0.0000, 0.0000, 0.5000) [1 per cell]

- Crystal system: tetragonal
- Formation energy (no corrections): 0.4644 eV/atom
- Raw total energy: -0.22090 Ry/atom

***

No. 12
Entry from the Alexandria database: a geometry-optimized Nd2Zn12Cu3Pd structure (PBE).

abc: 5.8743 5.8743 32.8368
angles: 90.00 90.00 120.00
Space group R-3m (No. 166, hexagonal axes)
Symmetry-distinct sites (fractional):
Nd (0.0000, 0.0000, 0.1403) [6 per cell]
Zn (0.9997, 0.4998, 0.1073) [18 per cell]
Zn (0.0396, 0.5198, 0.6159) [18 per cell]
Cu (0.0000, 0.5000, 0.0000) [9 per cell]
Pd (0.0000, 0.0000, 0.5000) [3 per cell]

- Crystal system: trigonal
- Formation energy from the elements: -0.063 eV per atom
- Raw total energy: -0.17734 Ry/atom

***

No. 13
Entry from the Alexandria database: a geometry-optimized Mn2AsHN structure (PBE).

abc: 3.7371 3.7371 3.7867
angles: 90.00 90.00 90.00
Space group P4mm (No. 99)
Symmetry-distinct sites (fractional):
Mn (0.0000, 0.5000, 0.0000) [2 per cell]
As (0.0000, 0.0000, 0.5756) [1 per cell]
H (0.5000, 0.5000, 0.4260) [1 per cell]
N (0.5000, 0.5000, 0.1518) [1 per cell]

- Crystal system: tetragonal
- Raw total energy: -0.51711 Ry/atom

***

No. 14
Entry from the Alexandria database: a geometry-optimized Sb2PtCl structure (PBE).

abc: 7.0331 7.0331 7.0331
angles: 90.00 90.00 90.00
Space group F-43m (No. 216)
Symmetry-distinct sites (fractional):
Sb (0.0000, 0.0000, 0.0000) [4 per cell]
Sb (0.2500, 0.2500, 0.2500) [4 per cell]
Pt (0.2500, 0.2500, 0.7500) [4 per cell]
Cl (0.0000, 0.0000, 0.5000) [4 per cell]

- Crystal system: cubic
- Energy above the lowest structure with this stoichiometry: 709 meV/atom
- Formation energy (no corrections): 0.2306 eV/atom
- Raw total energy: -0.27947 Ry/atom

***

No. 15
Entry from the Alexandria database: a geometry-optimized SrLiSbRh structure (PBE).

abc: 6.9132 6.9132 6.9132
angles: 90.00 90.00 90.00
Space group F-43m (No. 216)
Symmetry-distinct sites (fractional):
Sr (0.0000, 0.0000, 0.0000) [4 per cell]
Li (0.2500, 0.2500, 0.2500) [4 per cell]
Sb (0.0000, 0.0000, 0.5000) [4 per cell]
Rh (0.2500, 0.2500, 0.7500) [4 per cell]

- Crystal system: cubic
- Formation energy (no corrections): -0.4741 eV/atom
- Raw total energy: -0.31174 Ry/atom

***

No. 16
Entry from the Alexandria database: a geometry-optimized LaNiAg2 structure (PBE).

abc: 3.7675 4.1069 10.9697
angles: 90.00 90.00 90.00
Space group Amm2 (No. 38)
Symmetry-distinct sites (fractional):
La (0.0000, 0.0000, 0.0000) [2 per cell]
Ni (0.5000, 0.0000, 0.4441) [2 per cell]
Ag (0.0000, 0.0000, 0.2774) [2 per cell]
Ag (0.5000, 0.0000, 0.6983) [2 per cell]

- Crystal system: orthorhombic
- Formation energy from the elements: -0.113 eV per atom
- Raw total energy: -0.30983 Ry/atom

***

No. 17
Entry from the Alexandria database: a geometry-optimized CeP2PdS8 structure (PBE).

abc: 6.4664 6.4664 8.1618
angles: 90.00 90.00 120.00
Space group P-3m1 (No. 164)
Symmetry-distinct sites (fractional):
Ce (0.0000, 0.0000, 0.0000) [1 per cell]
P (0.3333, 0.6667, 0.1977) [2 per cell]
Pd (0.0000, 0.0000, 0.5000) [1 per cell]
S (0.1576, 0.3153, 0.2773) [6 per cell]
S (0.3333, 0.6667, 0.9534) [2 per cell]

- Crystal system: trigonal
- Formation energy (no corrections): -0.3642 eV/atom
- Raw total energy: -0.36343 Ry/atom

***

No. 18
Entry from the Alexandria database: a geometry-optimized BaLi2AsI structure (PBE).

abc: 5.0372 5.0372 6.5699
angles: 90.00 90.00 90.00
Space group P4/mmm (No. 123)
Symmetry-distinct sites (fractional):
Ba (0.0000, 0.0000, 0.0000) [1 per cell]
Li (0.0000, 0.5000, 0.5000) [2 per cell]
As (0.0000, 0.0000, 0.5000) [1 per cell]
I (0.5000, 0.5000, 0.0000) [1 per cell]

- Crystal system: tetragonal
- Formation energy (no corrections): -0.9836 eV/atom
- Raw total energy: -0.24796 Ry/atom

***

No. 19
Entry from the Alexandria database: a geometry-optimized Zr2Be4Cu structure (PBE).

abc: 3.8983 3.8983 13.2772
angles: 90.00 90.00 90.00
Space group I4/mmm (No. 139)
Symmetry-distinct sites (fractional):
Zr (0.0000, 0.0000, 0.1506) [4 per cell]
Be (0.0000, 0.0000, 0.3454) [4 per cell]
Be (0.0000, 0.5000, 0.0000) [4 per cell]
Cu (0.0000, 0.0000, 0.5000) [2 per cell]

- Crystal system: tetragonal
- Formation energy from the elements: 0.241 eV per atom
- Raw total energy: -0.36133 Ry/atom

***

No. 20
Entry from the Alexandria database: a geometry-optimized K2SrVCl6 structure (PBE).

abc: 7.2930 10.5975 7.7810
angles: 90.00 90.00 90.00
Space group Pmmn (No. 59, origin choice 2)
Symmetry-distinct sites (fractional):
K (0.2500, 0.0366, 0.1973) [4 per cell]
Sr (0.2500, 0.2500, 0.7171) [2 per cell]
V (0.2500, 0.7500, 0.7772) [2 per cell]
Cl (0.0037, 0.7500, 0.5584) [4 per cell]
Cl (0.0137, 0.7500, 0.0088) [4 per cell]
Cl (0.2500, 0.5155, 0.7791) [4 per cell]

- Crystal system: orthorhombic
- Formation energy (no corrections): -1.8249 eV/atom
- Raw total energy: -0.31108 Ry/atom